Density functional theory data (PBE) for a relaxed structure of CaCr2Ni.

a b c (Å): 5.6050 5.6050 5.6050
angles (deg): 151.75 134.43 54.49
Last column: nearest neighbours and their distance in Å.
Sites, in units of the cell vectors:
Ca 0.0000 0.0000 0.0000  4 Ni 2.57, 2 Ca 2.74
Cr 0.2780 0.7780 0.5000  2 Ni 2.60, 6 Cr 2.63-2.74
Cr 0.7220 0.2220 0.5000  2 Ni 2.60, 6 Cr 2.63-2.74
Ni 0.5000 0.5000 0.0000  4 Ca 2.57, 4 Cr 2.60, 2 Ni 2.74

Results
DFT formation energy = 63.4 kJ per mole of atoms
energy above the lowest structure with this stoichiometry = 296.8 meV/atom
calculated total energy = -6.10 eV/atom
Fermi-level density of states = 5.75 states/eV/cell
magnetic moment = 0.000 μB/atom

---

Density functional theory data (PBE) for a relaxed structure of Ca2CrNi.

a b c (Å): 9.0633 9.0633 9.0633
angles (deg): 23.59 23.59 23.59
Last column: nearest neighbours and their distance in Å.
Sites, in units of the cell vectors:
Ca 0.2336 0.2336 0.2336  3 Ni 2.77
Ca 0.7664 0.7664 0.7664  3 Ni 2.77
Cr 0.0000 0.0000 0.0000  6 Ca 3.39, 6 Cr 3.71
Ni 0.5000 0.5000 0.5000  6 Ca 2.77

Results
DFT formation energy = 53.3 kJ per mole of atoms
energy above the lowest structure with this stoichiometry = 307.3 meV/atom
calculated total energy = -4.30 eV/atom
Fermi-level density of states = 1.59 states/eV/cell
magnetic moment = 1.225 μB/atom

---

Density functional theory data (PBE) for a relaxed structure of CaCr2Ni.

a b c (Å): 9.2872 9.2872 9.2872
angles (deg): 154.30 154.30 36.67
Last column: nearest neighbours and their distance in Å.
Sites, in units of the cell vectors:
Ca 0.0000 0.0000 0.0000  4 Ni 2.92, 8 Cr 3.13-3.25
Ca 0.7500 0.2500 0.5000  4 Ni 2.92, 8 Cr 3.13-3.25
Cr 0.3526 0.6250 0.2276  2 Cr 2.07
Cr 0.3750 0.6026 0.7276  2 Cr 2.07
Cr 0.3974 0.1250 0.7724  2 Cr 2.07
Cr 0.8750 0.6474 0.2724  2 Cr 2.07
Ni 0.2500 0.7500 0.5000  4 Cr 2.44
Ni 0.5000 0.5000 0.0000  4 Cr 2.44

Results
DFT formation energy = 85.2 kJ per mole of atoms
energy above the lowest structure with this stoichiometry = 522.5 meV/atom
calculated total energy = -5.87 eV/atom
Fermi-level density of states = 9.34 states/eV/cell
magnetic moment = 0.000 μB/atom

---

Density functional theory data (PBE) for a relaxed structure of Ca2CrNi.

a b c (Å): 5.6995 5.6995 5.6995
angles (deg): 135.12 135.12 65.35
Last column: nearest neighbours and their distance in Å.
Sites, in units of the cell vectors:
Ca 0.0000 0.0000 0.0000  4 Ni 3.08, 4 Cr 3.24, 4 Ca 3.24
Ca 0.7500 0.2500 0.5000  4 Cr 3.08, 4 Ni 3.24, 4 Ca 3.24
Cr 0.2500 0.7500 0.5000  8 Ca 3.08-3.24, 4 Ni 3.24
Ni 0.5000 0.5000 0.0000  8 Ca 3.08-3.24, 4 Cr 3.24

Results
DFT formation energy = 45.0 kJ per mole of atoms
energy above the lowest structure with this stoichiometry = 220.9 meV/atom
calculated total energy = -4.39 eV/atom
Fermi-level density of states = 2.84 states/eV/cell
magnetic moment = 1.183 μB/atom

---

Density functional theory data (PBE) for a relaxed structure of CaCr2Ni.

a b c (Å): 2.7587 4.0110 6.0974
angles (deg): 90.00 90.66 90.00
Last column: nearest neighbours and their distance in Å.
Sites, in units of the cell vectors:
Ca 0.0000 0.0000 0.0000  2 Ca 2.76, 2 Ni 3.05
Cr 0.4212 0.5000 0.6489  1 Cr 1.87
Cr 0.5788 0.5000 0.3511  1 Cr 1.87
Ni 0.0000 0.0000 0.5000  8 Cr 2.48-2.73, 2 Ni 2.76

Results
DFT formation energy = 56.6 kJ per mole of atoms
energy above the lowest structure with this stoichiometry = 226.3 meV/atom
calculated total energy = -6.17 eV/atom
Fermi-level density of states = 4.28 states/eV/cell
magnetic moment = 0.000 μB/atom

---

Density functional theory data (PBE) for a relaxed structure of CaCr2Ni.

a b c (Å): 3.2967 3.2967 6.4184
angles (deg): 90.00 90.00 90.00
Last column: nearest neighbours and their distance in Å.
Sites, in units of the cell vectors:
Ca 0.0000 0.0000 0.0000  2 Ni 3.21, 8 Cr 3.26, 4 Ca 3.30
Cr 0.5000 0.5000 0.3540  1 Cr 1.87
Cr 0.5000 0.5000 0.6460  1 Cr 1.87
Ni 0.0000 0.0000 0.5000  8 Cr 2.51

Results
DFT formation energy = 55.5 kJ per mole of atoms
energy above the lowest structure with this stoichiometry = 214.9 meV/atom
calculated total energy = -6.18 eV/atom
Fermi-level density of states = 6.19 states/eV/cell
magnetic moment = 0.404 μB/atom